[1]
Density functional theory data (PBE) for an optimized crystal structure of Y2CrPb.

- calculated formation energy (eV per atom) = 0.1932

Geometry as extended XYZ:
```
4
Lattice="0.000 3.644 3.644 3.644 0.000 3.644 3.644 3.644 0.000" Properties=species:S:1:pos:R:3 pbc="T T T"
Y 0.000 0.000 0.000
Y 1.822 1.822 1.822
Cr 5.466 5.466 5.466
Pb 3.644 3.644 3.644
```

***

[2]
Density functional theory data (PBE) for an optimized crystal structure of Pm2GaN.

- polymorph energy (0 for the lowest one) (meV/atom) = 299
- formation energy (no corrections) (meV/atom) = -595

Geometry as extended XYZ:
```
4
Lattice="1.772 1.023 8.947 -1.772 1.023 8.947 0.000 -2.046 8.947" Properties=species:S:1:pos:R:3 pbc="T T T"
Pm 0.000 0.000 3.103
Pm 0.000 0.000 23.739
Ga 0.000 0.000 0.000
N 0.000 0.000 13.421
```

***

[3]
Density functional theory data (PBE) for an optimized crystal structure of CaMgZr.

- polymorph energy (0 for the lowest one) (meV/atom) = 0
- calculated formation energy (eV per atom) = 0.0464

Geometry as extended XYZ:
```
6
Lattice="3.450 0.000 0.000 0.000 3.450 0.000 0.000 0.000 14.061" Properties=species:S:1:pos:R:3 pbc="T T T"
Ca 0.863 0.863 1.563
Ca 2.588 2.588 12.498
Mg 0.863 0.863 10.065
Mg 2.588 2.588 3.996
Zr 0.863 0.863 6.064
Zr 2.588 2.588 7.997
```

***

Please write out number 1 again, unchanged.
Density functional theory data (PBE) for an optimized crystal structure of Y2CrPb.

- calculated formation energy (eV per atom) = 0.1932

Geometry as extended XYZ:
```
4
Lattice="0.000 3.644 3.644 3.644 0.000 3.644 3.644 3.644 0.000" Properties=species:S:1:pos:R:3 pbc="T T T"
Y 0.000 0.000 0.000
Y 1.822 1.822 1.822
Cr 5.466 5.466 5.466
Pb 3.644 3.644 3.644
```